PBE FeBRu2C, optimized geometry; DOS(E_F) = 4.1 states/eV per cell; SG = No. 123
1.0
4.019 0.000 0.000
0.000 3.699 0.000
0.000 0.000 4.019
Ru Fe C B
2 1 1 1
direct
0.500 0.000 0.000
0.000 0.000 0.500
0.000 0.500 0.000
0.500 0.500 0.500
0.000 0.000 0.000

***

PBE Fe2BRuC, optimized geometry; DOS(E_F) = 5.9 states/eV per cell; SG = No. 123
1.0
-2.913 -3.005 0.924
1.932 -1.434 1.428
-1.060 2.125 3.568
Fe Ru C B
2 1 1 1
direct
0.000 0.000 0.500
0.500 0.000 0.000
0.500 0.500 0.500
0.000 0.500 0.000
0.000 0.000 0.000

***

PBE Sc2Fe2B2C, optimized geometry; DOS(E_F) = 4.3 states/eV per cell; SG = No. 12
1.0
3.400 0.000 0.000
1.700 4.916 0.000
1.700 1.170 4.788
Sc C Fe B
2 1 2 2
direct
0.433 0.817 0.317
0.567 0.183 0.683
0.000 0.000 0.000
0.788 0.320 0.103
0.212 0.680 0.897
0.156 0.403 0.286
0.844 0.597 0.714

***

Number 1: calculated total energy -7.25 eV/atom. Number 2: calculated total energy -7.47 eV/atom. Number 3: calculated total energy -7.95 eV/atom.